Entry from Alexandria: a relaxed PaCu4Pb crystal (GGA-PBE).

For the density of states at the Fermi level, the calculation gives 25.66 states/eV/cell. The calculated formation energy comes out at 0.128 eV/atom. The crystal system is cubic. For the total energy, the calculation gives -115.296 eV per cell.

The structure belongs to space group F-43m (No. 216); the cell edges are 7.4331, 7.4331 and 7.4331 Å and the angles 90.00°, 90.00° and 90.00°. The distinct sites, in fractional coordinates, are Pa at (0.0000, 0.0000, 0.0000), Cu at (0.1262, 0.1262, 0.3738) and Pb at (0.2500, 0.2500, 0.7500).